A relaxed structure of HfSiAg3. Source: Alexandria, functional PBE.

```
HfSiAg3
1.0
4.683 0.000 0.000
0.000 4.683 0.000
0.000 0.000 4.683
Hf Si Ag
1 1 3
direct
0.000 0.000 0.000
0.500 0.500 0.500
0.000 0.500 0.500
0.500 0.000 0.500
0.500 0.500 0.000
```

Properties
symmetry	Pm-3m
density	8.6	g/cm³
polymorph energy (0 for the lowest one)	0	meV per atom
final energy	-4.164	eV/atom
uncorrected formation energy	0.62	eV/atom

A relaxed structure of Hf2SiAg. Source: Alexandria, functional PBE.

```
Hf2SiAg
1.0
-3.719 3.719 2.901
3.719 -3.719 2.901
3.719 3.719 -2.901
Hf Si Ag
4 2 2
direct
0.113 0.125 0.488
0.375 0.887 0.012
0.637 0.625 0.512
0.875 0.363 0.988
0.000 0.000 0.000
0.750 0.250 0.500
0.250 0.750 0.500
0.500 0.500 0.000
```

Properties
symmetry	I-42d
density	10.2	g/cm³
final energy	-6.931	eV/atom
uncorrected formation energy	0.11	eV/atom

A relaxed structure of Hf3SiAg. Source: Alexandria, functional PBE.

```
Hf3SiAg
1.0
4.874 0.000 0.000
0.000 4.874 0.000
0.000 0.000 4.874
Hf Si Ag
3 1 1
direct
0.000 0.000 0.500
0.000 0.500 0.000
0.500 0.000 0.000
0.000 0.000 0.000
0.500 0.500 0.500
```

Properties
symmetry	Pm-3m
density	9.6	g/cm³
polymorph energy (0 for the lowest one)	0	meV per atom
final energy	-7.299	eV/atom
uncorrected formation energy	0.33	eV/atom

Number 3 is which compound? Hf3SiAg

Among the records above, which one has the highest uncorrected formation energy? HfSiAg3

What did the first record say?
A relaxed structure of HfSiAg3. Source: Alexandria, functional PBE.

```
HfSiAg3
1.0
4.683 0.000 0.000
0.000 4.683 0.000
0.000 0.000 4.683
Hf Si Ag
1 1 3
direct
0.000 0.000 0.000
0.500 0.500 0.500
0.000 0.500 0.500
0.500 0.000 0.500
0.500 0.500 0.000
```

Properties
symmetry	Pm-3m
density	8.6	g/cm³
polymorph energy (0 for the lowest one)	0	meV per atom
final energy	-4.164	eV/atom
uncorrected formation energy	0.62	eV/atom

uncorrected formation energy of number 3 (Hf3SiAg)? 0.33 eV/atom